[1]
Entry from Alexandria: AgOs2W after structural relaxation (GGA-PBE).

Unit cell a=9.437 b=2.771 c=4.827 alpha=90.00 beta=100.51 gamma=90.00
Fractional positions:
Ag  0.000  0.000  0.000
Ag  0.500  0.500  0.000
Os  0.262  0.500  0.268
Os  0.491  0.000  0.494
Os  0.762  0.000  0.268
Os  0.991  0.500  0.494
W  0.238  0.000  0.733
W  0.738  0.500  0.733

Calculated density (kg/m3): 17987
Calculated volume (Å³ per cell): 124.1
DFT total energy (eV per atom): -9.080
Total moment (μB per atom): 0.000
Relative energy among the computed polymorphs (eV per atom): 0.194
ΔE_f (eV/atom): 0.486

***

[2]
Entry from Alexandria: AgOs2W after structural relaxation (GGA-PBE).

Unit cell a=6.285 b=6.285 c=6.285 alpha=90.00 beta=90.00 gamma=90.00
Fractional positions:
Ag  0.000  0.000  0.000
Ag  0.000  0.500  0.500
Ag  0.500  0.000  0.500
Ag  0.500  0.500  0.000
Os  0.250  0.250  0.250
Os  0.250  0.250  0.750
Os  0.250  0.750  0.250
Os  0.250  0.750  0.750
Os  0.750  0.250  0.250
Os  0.750  0.250  0.750
Os  0.750  0.750  0.250
Os  0.750  0.750  0.750
W  0.000  0.000  0.500
W  0.000  0.500  0.000
W  0.500  0.000  0.000
W  0.500  0.500  0.500

Calculated density (kg/m3): 17987
Calculated volume (Å³ per cell): 248.2
DFT total energy (eV per atom): -8.999
Total moment (μB per atom): 0.000
Relative energy among the computed polymorphs (eV per atom): 0.275
ΔE_f (eV/atom): 0.567

***

[3]
Entry from Alexandria: AgOs2W after structural relaxation (GGA-PBE).

Unit cell a=2.773 b=4.629 c=10.232 alpha=90.00 beta=90.00 gamma=90.00
Fractional positions:
Ag  0.000  0.000  0.000
Ag  0.500  0.500  0.500
Os  0.000  0.000  0.472
Os  0.000  0.500  0.764
Os  0.500  0.000  0.264
Os  0.500  0.500  0.972
W  0.000  0.500  0.197
W  0.500  0.000  0.697

Calculated density (kg/m3): 17000
Calculated volume (Å³ per cell): 131.3
DFT total energy (eV per atom): -8.956
Total moment (μB per atom): 0.000
Relative energy among the computed polymorphs (eV per atom): 0.319
ΔE_f (eV/atom): 0.610

***

[4]
Entry from Alexandria: Ag2OsW after structural relaxation (GGA-PBE).

Unit cell a=2.937 b=2.937 c=7.871 alpha=90.00 beta=90.00 gamma=90.00
Fractional positions:
Ag  0.000  0.000  0.000
Ag  0.500  0.500  0.261
Os  0.000  0.000  0.531
W  0.500  0.500  0.724

Calculated density (kg/m3): 14426
Calculated volume (Å³ per cell): 67.9
DFT total energy (eV per atom): -7.072
Total moment (μB per atom): 0.000
Relative energy among the computed polymorphs (eV per atom): 0.112
ΔE_f (eV/atom): 0.399

***

[5]
Entry from Alexandria: AgOs2W after structural relaxation (GGA-PBE).

Unit cell a=5.653 b=7.687 c=2.828 alpha=90.00 beta=90.00 gamma=90.00
Fractional positions:
Ag  0.000  0.000  0.000
Ag  0.500  0.500  0.000
Os  0.250  0.250  0.500
Os  0.250  0.750  0.500
Os  0.750  0.250  0.500
Os  0.750  0.750  0.500
W  0.000  0.500  0.000
W  0.500  0.000  0.000

Calculated density (kg/m3): 18169
Calculated volume (Å³ per cell): 122.9
DFT total energy (eV per atom): -8.985
Total moment (μB per atom): 0.000
Relative energy among the computed polymorphs (eV per atom): 0.290
ΔE_f (eV/atom): 0.581

***

[6]
Entry from Alexandria: Ag2OsW after structural relaxation (GGA-PBE).

Unit cell a=5.245 b=9.172 c=2.715 alpha=90.00 beta=90.00 gamma=90.00
Fractional positions:
Ag  0.250  0.250  0.000
Ag  0.250  0.750  0.000
Ag  0.750  0.250  0.000
Ag  0.750  0.750  0.000
Os  0.000  0.000  0.500
Os  0.500  0.500  0.500
W  0.000  0.500  0.500
W  0.500  0.000  0.500

Calculated density (kg/m3): 14997
Calculated volume (Å³ per cell): 130.6
DFT total energy (eV per atom): -6.678
Total moment (μB per atom): 0.057
Relative energy among the computed polymorphs (eV per atom): 0.506
ΔE_f (eV/atom): 0.793